VASP calculation (SCAN) on a crystal of Si2OsRu relaxed with PBEsol.

Cell lengths 2.828, 2.828, 7.669 Å; angles 90.00, 90.00, 118.47 degrees
Element x y z (fractional)
Os1 0.500 0.500 0.500
Ru1 0.500 0.500 0.000
Si1 0.000 0.000 0.247
Si2 0.000 0.000 0.753

DOS at the Fermi energy	0.61	states/eV/atom
uncorrected formation energy	-0.053	eV per atom
energy	-31.738	eV/atom
theoretical density	10699	kg/m3


VASP calculation (SCAN) on a crystal of SiOsRu2 relaxed with PBEsol.

Cell lengths 2.711, 2.711, 8.384 Å; angles 90.00, 90.00, 118.24 degrees
Element x y z (fractional)
Os1 0.500 0.500 0.269
Ru1 0.000 0.000 0.998
Ru2 0.500 0.500 0.729
Si1 0.000 0.000 0.503

DOS at the Fermi energy	0.89	states/eV/atom
uncorrected formation energy	0.278	eV per atom
energy	-37.609	eV/atom
theoretical density	12856	kg/m3


VASP calculation (SCAN) on a crystal of Si2OsRu relaxed with PBEsol.

Cell lengths 4.130, 4.130, 4.130 Å; angles 60.00, 60.00, 60.00 degrees
Element x y z (fractional)
Ru1 0.500 0.500 0.500
Si1 0.250 0.250 0.250
Si2 0.750 0.750 0.750
Os1 0.000 0.000 0.000

DOS at the Fermi energy	0.14	states/eV/atom
uncorrected formation energy	-0.622	eV per atom
energy	-32.307	eV/atom
theoretical density	11584	kg/m3


VASP calculation (SCAN) on a crystal of TlSnOsRu2 relaxed with PBEsol.

Cell lengths 4.710, 4.710, 5.014 Å; angles 90.00, 90.00, 90.00 degrees
Element x y z (fractional)
Ru1 0.000 0.500 0.000
Ru2 0.500 0.000 0.000
Tl1 0.500 0.500 0.500
Os1 0.000 0.000 0.000
Sn1 0.000 0.000 0.500

formation energy from the elements	1.29	eV/atom
DOS at the Fermi energy	0.86	states/eV/atom
energy	-48.668	eV/atom
theoretical density	10682	kg/m3


The lowest energy belongs to which entry? TlSnOsRu2